Record 1
# PBE Ba5SiBr6O4, optimized geometry
data_Ba5SiBr6O4
_chemical_formula_sum 'Ba10 Si2 Br12 O8'
_space_group_name_H-M_alt 'P 1'
_space_group_IT_number 1
_cell_length_a 9.2269
_cell_length_b 9.2269
_cell_length_c 12.1627
_cell_angle_alpha 82.03
_cell_angle_beta 82.03
_cell_angle_gamma 114.23
loop_
_space_group_symop_operation_xyz
'x,y,z'
loop_
_atom_site_label
_atom_site_fract_x
_atom_site_fract_y
_atom_site_fract_z
Br1 0.8483 0.7821 0.8661
Br2 0.2780 0.9809 0.9520
Br3 0.0000 0.5000 0.0000
Br4 0.2179 0.1517 0.6339
Br5 0.7220 0.0191 0.0480
Br6 0.7821 0.8483 0.3661
Br7 0.0191 0.7220 0.5480
Br8 0.7549 0.2451 0.7500
Br9 0.2451 0.7549 0.2500
Br10 0.1517 0.2179 0.1339
Br11 0.9809 0.2780 0.4520
Br12 0.5000 0.0000 0.5000
Ba1 0.0879 0.2431 0.8636
Ba2 0.9121 0.7569 0.1364
Ba3 0.7569 0.9121 0.6364
Ba4 0.7907 0.2093 0.2500
Ba5 0.5641 0.3210 0.9830
Ba6 0.6790 0.4359 0.5170
Ba7 0.4359 0.6790 0.0170
Ba8 0.2431 0.0879 0.3636
Ba9 0.3210 0.5641 0.4830
Ba10 0.2093 0.7907 0.7500
O1 0.4447 0.4038 0.3654
O2 0.5962 0.5553 0.1346
O3 0.2444 0.5245 0.7144
O4 0.5245 0.2444 0.2144
O5 0.7556 0.4755 0.2856
O6 0.5553 0.5962 0.6346
O7 0.4038 0.4447 0.8654
O8 0.4755 0.7556 0.7856
Si1 0.5758 0.4242 0.2500
Si2 0.4242 0.5758 0.7500
# Space-group type   C2/c (15)

Record 2
# PBE BaSmBrO2, optimized geometry
data_BaSmBrO2
_chemical_formula_sum 'Ba1 Sm1 Br1 O2'
_space_group_name_H-M_alt 'P 1'
_space_group_IT_number 1
_cell_length_a 4.3282
_cell_length_b 4.3282
_cell_length_c 7.0689
_cell_angle_alpha 89.99
_cell_angle_beta 90.00
_cell_angle_gamma 90.00
loop_
_space_group_symop_operation_xyz
'x,y,z'
loop_
_atom_site_label
_atom_site_fract_x
_atom_site_fract_y
_atom_site_fract_z
O1 0.0000 0.5000 0.9147
O2 0.5000 0.0000 0.9147
Ba1 0.5000 0.5000 0.7075
Sm1 0.0000 0.0000 0.0216
Br1 0.0000 0.0000 0.4415
# Space-group type   P4mm (99)

Record 3
# PBE Ba2SmBr2O2, optimized geometry
data_Ba2SmBr2O2
_chemical_formula_sum 'Ba2 Sm1 Br2 O2'
_space_group_name_H-M_alt 'P 1'
_space_group_IT_number 1
_cell_length_a 4.6507
_cell_length_b 4.6507
_cell_length_c 9.0573
_cell_angle_alpha 104.88
_cell_angle_beta 104.88
_cell_angle_gamma 90.00
loop_
_space_group_symop_operation_xyz
'x,y,z'
loop_
_atom_site_label
_atom_site_fract_x
_atom_site_fract_y
_atom_site_fract_z
Ba1 0.6083 0.6083 0.2166
Ba2 0.3917 0.3917 0.7834
O1 0.0000 0.5000 0.0000
O2 0.5000 0.0000 0.0000
Sm1 0.0000 0.0000 0.0000
Br1 0.1831 0.1831 0.3661
Br2 0.8169 0.8169 0.6339
# Space-group type   I4/mmm (139)

Record 4
# PBE BaSnBrO2, optimized geometry
data_BaSnBrO2
_chemical_formula_sum 'Ba2 Sn2 Br2 O4'
_space_group_name_H-M_alt 'P 1'
_space_group_IT_number 1
_cell_length_a 5.8254
_cell_length_b 6.0217
_cell_length_c 7.4959
_cell_angle_alpha 113.68
_cell_angle_beta 90.00
_cell_angle_gamma 90.00
loop_
_space_group_symop_operation_xyz
'x,y,z'
loop_
_atom_site_label
_atom_site_fract_x
_atom_site_fract_y
_atom_site_fract_z
Ba1 0.7500 0.3819 0.7638
Ba2 0.2500 0.6181 0.2362
Br1 0.7500 0.7523 0.5045
Br2 0.2500 0.2477 0.4955
O1 0.5000 0.7791 0.0000
O2 0.0000 0.7791 0.0000
O3 0.0000 0.2209 0.0000
O4 0.5000 0.2209 0.0000
Sn1 0.2500 0.9449 0.8897
Sn2 0.7500 0.0551 0.1103
# Space-group type   Cmcm (63)

Number 1: formation energy (no corrections) -40.87 eV per formula unit. Number 2: formation energy (no corrections) -14.12 eV per formula unit. Number 3: formation energy (no corrections) -16.42 eV per formula unit. Number 4: formation energy (no corrections) -9.48 eV per formula unit.